! PBE LiInTeOs, relaxed; values from VASP
! size of the total moment: 0.0002 μB per atom
! crystal system: cubic
! polymorph energy (0 for the lowest one): 0.000 eV per atom
&SYSTEM
  ibrav = 0, nat = 4, ntyp = 4
/
ATOMIC_SPECIES
In 114.82 In.upf
Li 6.94 Li.upf
Os 190.23 Os.upf
Te 127.60 Te.upf
CELL_PARAMETERS angstrom
0.000 3.307 3.307
3.307 0.000 3.307
3.307 3.307 0.000
ATOMIC_POSITIONS angstrom
In 0.000 0.000 0.000
Li 4.961 4.961 4.961
Os 1.654 1.654 1.654
Te 3.307 3.307 3.307

! PBE DyCuSnTe3, relaxed; values from VASP
! size of the total moment: 0.0001 μB per atom
! crystal system: orthorhombic
! polymorph energy (0 for the lowest one): 0.035 eV per atom
&SYSTEM
  ibrav = 0, nat = 24, ntyp = 4
/
ATOMIC_SPECIES
Cu 63.55 Cu.upf
Dy 162.50 Dy.upf
Sn 118.71 Sn.upf
Te 127.60 Te.upf
CELL_PARAMETERS angstrom
12.338 0.000 0.000
0.000 4.374 0.000
0.000 0.000 12.350
ATOMIC_POSITIONS angstrom
Cu 9.460 1.093 2.471
Cu 3.291 1.093 3.704
Cu 9.046 3.280 8.646
Cu 2.877 3.280 9.879
Dy 5.803 3.280 2.339
Dy 11.971 3.280 3.836
Dy 0.366 1.093 8.514
Dy 6.535 1.093 10.011
Sn 9.927 3.280 0.251
Sn 3.758 3.280 5.924
Sn 8.580 1.093 6.426
Sn 2.411 1.093 12.099
Te 7.422 1.093 0.753
Te 11.920 1.093 1.621
Te 2.669 3.280 2.321
Te 8.838 3.280 3.854
Te 5.752 1.093 4.555
Te 1.253 1.093 5.422
Te 11.085 3.280 6.928
Te 6.586 3.280 7.796
Te 3.499 1.093 8.496
Te 9.668 1.093 10.029
Te 0.417 3.280 10.730
Te 4.916 3.280 11.597

! PBE RbAgPtSeS2, relaxed; values from VASP
! size of the total moment: 0.0000 μB per atom
! total DFT energy (no corrections): -3.956 eV/atom
! crystal system: orthorhombic
&SYSTEM
  ibrav = 0, nat = 12, ntyp = 5
/
ATOMIC_SPECIES
Ag 107.87 Ag.upf
Pt 195.08 Pt.upf
Rb 85.47 Rb.upf
S 32.06 S.upf
Se 78.96 Se.upf
CELL_PARAMETERS angstrom
-1.871 7.422 -2.661
1.173 -5.572 5.766
10.135 2.777 0.622
ATOMIC_POSITIONS angstrom
Ag 1.920 2.750 0.975
Ag 7.517 1.877 2.753
Pt 0.000 0.000 0.000
Pt 5.067 1.389 0.311
Rb 2.872 -1.314 3.610
Rb 6.565 5.941 0.117
S -0.452 2.269 0.729
S 4.218 3.549 1.015
S 5.219 1.079 2.712
S 9.889 2.359 2.999
Se 0.797 7.545 -2.135
Se 8.640 -2.917 5.862